Record 1
Compound: Rb2Pr2RuO6
Source: Alexandria via LeMat-Bulk
Functional: GGA-PBE
Structure: relaxed

Cell: 6.006 6.006 6.904 Å, 97.14 97.14 119.09°
Site moments in Bohr magnetons follow the coordinates.
Positions (direct):
Ru 0.000 0.000 0.500  1.44
O 0.769 0.769 0.666  0.12
O 0.650 0.954 0.333  0.04
O 0.231 0.231 0.334  0.12
O 0.046 0.350 0.667  0.04
O 0.954 0.650 0.333  0.04
O 0.350 0.046 0.667  0.04
Pr 0.334 0.666 0.500  0.01
Pr 0.666 0.334 0.500  0.01
Rb 0.161 0.839 0.000  0.00
Rb 0.839 0.161 0.000  0.00

## Properties
DOS at the Fermi energy: 4.00 states/eV/f.u.
Crystal system: monoclinic
Formation energy without anion corrections: -2.03 eV per atom
Space group: C2/m (12)
Spin magnetization: 2.00 μB/f.u.
Mass density: 5.11 g/cm³
Calculated volume: 19.18 Å³/atom


Record 2
Compound: Rb3Pr2RuO6
Source: Alexandria via LeMat-Bulk
Functional: GGA-PBE
Structure: relaxed

Cell: 6.106 6.106 6.864 Å, 98.55 98.55 120.03°
Site moments in Bohr magnetons follow the coordinates.
Positions (direct):
O 0.254 0.254 0.814  0.00
O 0.746 0.746 0.186  0.00
O 0.943 0.640 0.823  0.04
O 0.640 0.943 0.823  0.04
O 0.057 0.360 0.177  0.04
O 0.360 0.057 0.177  0.04
Rb 0.500 0.500 0.500  0.00
Rb 0.161 0.839 0.500  0.00
Rb 0.839 0.161 0.500  0.00
Pr 0.335 0.665 0.000  0.00
Pr 0.665 0.335 0.000  0.00
Ru 0.000 0.000 0.000  0.80

## Properties
DOS at the Fermi energy: 6.70 states/eV/f.u.
Crystal system: monoclinic
Formation energy without anion corrections: -1.89 eV per atom
Space group: C2/m (12)
Spin magnetization: 1.01 μB/f.u.
Mass density: 5.77 g/cm³
Calculated volume: 17.63 Å³/atom


Record 3
Compound: RbPrS2O6
Source: Alexandria via LeMat-Bulk
Functional: GGA-PBE
Structure: relaxed

Cell: 6.829 6.829 8.105 Å, 104.51 104.51 98.82°
Positions (direct):
S 0.091 0.341 0.287
S 0.909 0.659 0.713
S 0.341 0.091 0.787
S 0.659 0.909 0.213
O 0.509 0.290 0.925
O 0.290 0.509 0.425
O 0.920 0.460 0.255
O 0.166 0.301 0.120
O 0.301 0.166 0.620
O 0.460 0.920 0.755
O 0.491 0.710 0.075
O 0.834 0.699 0.880
O 0.080 0.540 0.745
O 0.710 0.491 0.575
O 0.699 0.834 0.380
O 0.540 0.080 0.245
Rb 0.146 0.854 0.250
Rb 0.854 0.146 0.750
Pr 0.556 0.444 0.250
Pr 0.444 0.556 0.750

## Properties
DOS at the Fermi energy: 0.00 states/eV/f.u.
Crystal system: monoclinic
Formation energy without anion corrections: -2.01 eV per atom
Space group: C2/c (15)
Spin magnetization: 0.00 μB/f.u.
Mass density: 3.72 g/cm³
Calculated volume: 17.23 Å³/atom


Record 4
Compound: RbPrS2O8
Source: Alexandria via LeMat-Bulk
Functional: GGA-PBE
Structure: relaxed

Cell: 5.501 5.501 8.596 Å, 90.00 90.00 120.00°
Positions (direct):
S 0.333 0.667 0.736
S 0.667 0.333 0.264
O 0.249 0.869 0.673
O 0.333 0.667 0.905
O 0.751 0.131 0.327
O 0.131 0.381 0.673
O 0.667 0.333 0.095
O 0.381 0.249 0.327
O 0.619 0.751 0.673
O 0.869 0.619 0.327
Pr 0.000 0.000 0.500
Rb 0.000 0.000 0.000

## Properties
DOS at the Fermi energy: 0.00 states/eV/f.u.
Crystal system: trigonal
Formation energy without anion corrections: -2.06 eV per atom
Space group: P-3 (147)
Spin magnetization: 0.00 μB/f.u.
Mass density: 3.08 g/cm³
Calculated volume: 18.77 Å³/atom


Which of these has the highest mass density?
Rb3Pr2RuO6